15
Lattice="-4.2948 -4.1238 -3.6800 3.6392 -5.4355 2.4910 -4.2861 0.1041 5.5328" Properties=species:S:1:pos:R:3 comment="YSc6S8 | the Alexandria database | PBE-GGA | optimized geometry" relative_energy_ev_per_atom=0.297 sg="R-3 (148)" formation_energy_uncorrected_ev_per_fu=-24.453 vol_a3_per_atom=22.778 pbc="T T T"
Y 0.0000 0.0000 0.0000
Sc -4.4661 -4.7624 3.3549
Sc -1.5000 -6.1364 3.7385
Sc -3.1590 -6.5606 0.9278
Sc -0.4756 -4.6927 0.9890
Sc -3.4417 -3.3187 0.6053
Sc -1.7827 -2.8945 3.4161
S -3.7878 -7.2473 3.3295
S -1.1539 -2.2078 1.0143
S -0.7697 -7.2450 1.3713
S -5.3784 -5.0009 1.0129
S -2.5960 -4.4847 5.3020
S -4.1720 -2.2101 2.9725
S 0.4367 -4.4542 3.3309
S -2.3457 -4.9704 -0.9582